Compound: CeNp2PN5
Source: Alexandria via LeMat-Bulk
Functional: PBE
Structure: optimized geometry

Geometry as POSCAR:
```
CeNp2PN5
1.0
6.431 0.000 0.000
0.000 6.431 0.000
0.000 0.000 5.464
Ce Np P N
2 4 2 10
Direct
0.000 0.000 0.000 Ce
0.500 0.500 0.000 Ce
0.178 0.322 0.500 Np
0.322 0.822 0.500 Np
0.678 0.178 0.500 Np
0.822 0.678 0.500 Np
0.000 0.500 0.000 P
0.500 0.000 0.000 P
0.000 0.000 0.500 N
0.138 0.638 0.229 N
0.138 0.638 0.771 N
0.362 0.138 0.229 N
0.362 0.138 0.771 N
0.500 0.500 0.500 N
0.638 0.862 0.229 N
0.638 0.862 0.771 N
0.862 0.362 0.229 N
0.862 0.362 0.771 N
```

Output
ΔE_f (raw)   -0.87 eV/atom
Total magnetization   11.19 μB/cell
Density of states at the Fermi level   1.211 states/eV per atom